Entry 1:
Computed, not measured: a geometry-optimized Pm3Dy4Ho2 structure at the GGA-PBE level of DFT.

Values from the calculation:
Its space group is P-1 (2). As for the calculated total energy: -4.630 eV/atom. The value obtained for the formation energy from the elements is 2 kJ per mole of atoms. The value obtained for the magnetization is 0.00 μB per formula unit.

The structure in extended XYZ format:
```
9
Lattice="6.111 -0.544 -0.753 -3.144 4.235 -3.235 -1.610 -0.467 12.761" Properties=species:S:1:pos:R:3 pbc="T T T"
Pm 0.000 0.000 0.000
Pm 1.969 -0.146 7.730
Pm -0.611 3.370 1.043
Dy 1.912 2.505 5.319
Dy -0.054 2.646 -2.410
Dy 1.412 0.579 11.183
Dy -0.555 0.719 3.454
Ho 2.472 1.777 1.872
Ho -1.115 1.447 6.900
```

Entry 2:
Computed, not measured: a geometry-optimized HoHfInAg structure at the GGA-PBE level of DFT.

Values from the calculation:
Its space group is F-43m (216). As for the calculated total energy: -5.168 eV/atom. The value obtained for the formation energy from the elements is -13 kJ per mole of atoms. The value obtained for the magnetization is 0.85 μB per formula unit.

The structure in extended XYZ format:
```
4
Lattice="-3.757 3.271 -0.870 -1.977 0.405 -4.637 -4.673 -1.702 -0.913" Properties=species:S:1:pos:R:3 pbc="T T T"
Hf 0.000 0.000 0.000
Ag -2.602 0.493 -1.605
Ho -5.204 0.986 -3.210
In -7.806 1.480 -4.815
```

Entry 3:
Computed, not measured: a geometry-optimized CdMo2P structure at the GGA-PBE level of DFT.

Values from the calculation:
Its space group is Pm (6). As for the calculated total energy: -6.790 eV/atom. The value obtained for the formation energy from the elements is 20 kJ per mole of atoms. As for the energy above the most stable polymorph in this dataset: 0.209 eV/atom. The value obtained for the magnetization is 0.00 μB per formula unit.

The structure in extended XYZ format:
```
4
Lattice="-1.054 0.520 4.309 -2.584 -1.445 -0.458 1.009 -5.201 0.874" Properties=species:S:1:pos:R:3 pbc="T T T"
Cd -1.555 -4.617 2.492
Mo -0.038 -0.324 0.030
Mo -1.358 -1.783 2.198
P -0.466 -2.725 0.215
```

Entry 4:
Computed, not measured: a geometry-optimized CrSiPb2 structure at the GGA-PBE level of DFT.

Values from the calculation:
Its space group is R3m (160). As for the calculated total energy: -5.145 eV/atom. The value obtained for the magnetization is 3.66 μB per formula unit. The energy relative to the elements, uncorrected comes out at 0.47 eV/atom.

The structure in extended XYZ format:
```
4
Lattice="-10.029 -0.050 -1.084 -9.176 -1.651 -3.852 -9.476 -3.312 -1.005" Properties=species:S:1:pos:R:3 pbc="T T T"
Cr -21.881 -3.824 -4.533
Pb -6.842 -1.196 -1.417
Pb -0.380 -0.066 -0.079
Si -13.919 -2.433 -2.883
```

Entry 5:
Computed, not measured: a geometry-optimized Sr2CdAg structure at the GGA-PBE level of DFT.

Values from the calculation:
Its space group is P4mm (99). As for the calculated total energy: -1.931 eV/atom. The value obtained for the formation energy from the elements is -14 kJ per mole of atoms. The value obtained for the magnetization is 0.00 μB per formula unit.

The structure in extended XYZ format:
```
4
Lattice="-0.259 3.814 2.171 -2.557 1.632 -3.172 -5.823 -2.372 3.473" Properties=species:S:1:pos:R:3 pbc="T T T"
Sr -5.476 -2.231 3.267
Sr -3.250 1.972 0.599
Cd -5.881 0.901 2.168
Ag -2.764 -1.126 1.649
```

Entry 6:
Computed, not measured: a geometry-optimized CaErNi2H8 structure at the GGA-PBE level of DFT.

Values from the calculation:
Its space group is P-1 (2). As for the calculated total energy: -4.087 eV/atom. The value obtained for the magnetization is 0.00 μB per formula unit.

The structure in extended XYZ format:
```
12
Lattice="-1.250 -0.412 4.106 -3.213 -2.946 0.164 2.115 -6.218 2.131" Properties=species:S:1:pos:R:3 pbc="T T T"
H -2.138 -2.971 4.065
H -0.210 -6.605 2.336
H -1.417 -2.879 2.028
H 0.853 -5.335 4.000
H -0.931 -6.697 4.372
H -3.201 -4.241 2.401
H -3.089 -5.554 4.922
H 0.741 -4.022 1.478
Er -1.174 -4.788 3.200
Ca 0.000 0.000 0.000
Ni -2.255 -6.984 5.071
Ni -0.093 -2.592 1.330
```

Entry 7:
Computed, not measured: a geometry-optimized GdAlCu structure at the GGA-PBE level of DFT.

Values from the calculation:
Its space group is F-43m (216). As for the calculated total energy: -7.540 eV/atom. The value obtained for the formation energy from the elements is -23 kJ per mole of atoms. The value obtained for the magnetization is 7.63 μB per formula unit.

The structure in extended XYZ format:
```
3
Lattice="-2.852 3.048 1.753 -1.206 -0.272 4.355 1.511 3.072 2.963" Properties=species:S:1:pos:R:3 pbc="T T T"
Al -1.274 2.924 4.536
Cu -0.637 1.462 2.268
Gd 0.000 0.000 0.000
```

Entry 8:
Computed, not measured: a geometry-optimized Th2MgAs structure at the GGA-PBE level of DFT.

Values from the calculation:
Its space group is R-3m (166). As for the calculated total energy: -5.397 eV/atom. The value obtained for the formation energy from the elements is -12 kJ per mole of atoms. The value obtained for the magnetization is 0.16 μB per formula unit.

The structure in extended XYZ format:
```
4
Lattice="3.753 0.000 0.000 1.876 3.250 0.000 1.876 1.083 10.786" Properties=species:S:1:pos:R:3 pbc="T T T"
Th 5.629 3.250 3.445
Th 1.876 1.083 7.341
Mg 0.000 0.000 0.000
As 3.753 2.167 5.393
```

Entry 9:
Computed, not measured: a geometry-optimized Sr3Sn2Pd9 structure at the GGA-PBE level of DFT.

Values from the calculation:
Its space group is Immm (71). As for the calculated total energy: -4.792 eV/atom. The value obtained for the formation energy from the elements is -50 kJ per mole of atoms. The value obtained for the magnetization is 0.00 μB per formula unit.

The structure in extended XYZ format:
```
14
Lattice="4.419 0.000 0.000 2.209 8.338 0.140 2.209 2.027 8.090" Properties=species:S:1:pos:R:3 pbc="T T T"
Sr 4.419 7.226 5.738
Sr 0.000 0.000 0.000
Sr 4.419 3.139 2.492
Pd 2.209 2.535 4.870
Pd 2.209 5.318 1.366
Pd 6.628 5.047 6.864
Pd 6.628 7.830 3.360
Pd 6.628 9.421 5.716
Pd 6.628 7.703 7.880
Pd 2.209 2.662 0.349
Pd 2.209 5.182 4.115
Pd 2.209 0.944 2.513
Sn 4.419 3.831 5.816
Sn 4.419 6.534 2.413
```

Entry 10:
Computed, not measured: a geometry-optimized Ti4ZnGa2 structure at the GGA-PBE level of DFT.

Values from the calculation:
Its space group is P2_1/m (11). As for the calculated total energy: -5.778 eV/atom. The value obtained for the formation energy from the elements is -21 kJ per mole of atoms. The value obtained for the magnetization is 0.00 μB per formula unit.

The structure in extended XYZ format:
```
14
Lattice="4.754 0.000 -0.521 0.000 5.340 0.000 -2.176 0.000 9.268" Properties=species:S:1:pos:R:3 pbc="T T T"
Ga 2.487 4.005 4.928
Ga 0.091 1.335 3.818
Ga 1.920 1.335 -0.199
Ga 0.658 4.005 8.945
Ti 4.379 1.335 0.648
Ti 0.280 5.308 6.486
Ti 2.615 1.335 4.758
Ti -0.037 4.005 3.989
Ti 2.298 2.638 2.260
Ti 0.280 2.701 6.486
Ti 2.298 0.031 2.260
Ti -1.801 4.005 8.098
Zn 2.495 1.335 7.249
Zn 0.083 4.005 1.498
```

Entry 11:
Computed, not measured: a geometry-optimized SrNi2Au structure at the GGA-PBE level of DFT.

Values from the calculation:
Its space group is P2/m (10). As for the calculated total energy: -4.136 eV/atom. The value obtained for the formation energy from the elements is 0 kJ per mole of atoms. The value obtained for the magnetization is 0.65 μB per formula unit.

The structure in extended XYZ format:
```
4
Lattice="-2.664 3.383 0.779 -3.405 -2.967 1.240 1.405 0.133 4.224" Properties=species:S:1:pos:R:3 pbc="T T T"
Au -2.832 -0.434 4.488
Ni 1.024 0.071 3.193
Ni -0.619 -1.354 3.763
Sr -1.832 0.983 1.756
```

Entry 12:
Computed, not measured: a geometry-optimized BaLiCl structure at the GGA-PBE level of DFT.

Values from the calculation:
Its space group is I4mm (107). As for the calculated total energy: -2.866 eV/atom. As for the energy above the most stable polymorph in this dataset: 0.193 eV/atom. The value obtained for the magnetization is 0.00 μB per formula unit. The energy relative to the elements, uncorrected comes out at -0.97 eV/atom.

The structure in extended XYZ format:
```
3
Lattice="-4.302 -1.359 7.196 -3.026 -5.038 6.133 2.844 0.157 2.861" Properties=species:S:1:pos:R:3 pbc="T T T"
Li -3.721 -4.073 9.617
Cl -1.072 -2.366 6.891
Ba -7.019 -6.197 13.011
```

- What is the calculated total energy in the second record?
  -5.168 eV/atom